(1)
LiIr2Ru | Alexandria via LeMat-Bulk | GGA-PBE | relaxed; symmetry = I-42d (122); ρ = 12.3 g cm⁻³; total energy = -6.66 eV per atom
1.0
7.368 0.000 0.000
0.000 7.368 0.000
3.684 3.684 2.450
Ru Ir Li
2 4 2
Direct
0.000 0.000 0.000 Ru
0.750 0.250 0.500 Ru
0.677 0.125 0.250 Ir
0.073 0.625 0.250 Ir
0.375 0.323 0.750 Ir
0.875 0.927 0.750 Ir
0.500 0.500 0.000 Li
0.250 0.750 0.500 Li

=====

(2)
SiSnW | Alexandria via LeMat-Bulk | GGA-PBE | relaxed; symmetry = Amm2 (38); ρ = 9.2 g cm⁻³; formation energy from raw total energies = 0.099 eV per atom
1.0
-1.994 -1.551 1.848
-0.113 -2.379 -2.118
18.447 -10.644 10.974
Si Sn W
4 4 4
Direct
0.000 0.000 0.164 Si
0.000 0.500 0.664 Si
0.500 0.000 0.841 Si
0.500 0.500 0.341 Si
0.000 0.000 0.050 Sn
0.000 0.500 0.550 Sn
0.000 0.000 0.427 Sn
0.000 0.500 0.927 Sn
0.000 0.000 0.288 W
0.000 0.500 0.788 W
0.500 0.000 0.722 W
0.500 0.500 0.222 W

=====

(3)
YPuS4 | Alexandria via LeMat-Bulk | GGA-PBE | relaxed; symmetry = Cmmm (65); ρ = 4.8 g cm⁻³; formation energy from raw total energies = -1.377 eV per atom
1.0
-3.281 -1.178 2.154
3.632 -3.674 3.524
0.868 4.782 3.936
Y Pu S
1 1 4
Direct
0.500 0.000 0.000 Y
0.000 0.500 0.500 Pu
0.000 0.203 0.203 S
0.000 0.797 0.797 S
0.500 0.688 0.312 S
0.500 0.312 0.688 S

=====

- Which value of ρ does entry 2 give?
  9.2 g cm⁻³

=====

Repeat the first record exactly.
LiIr2Ru | Alexandria via LeMat-Bulk | GGA-PBE | relaxed; symmetry = I-42d (122); ρ = 12.3 g cm⁻³; total energy = -6.66 eV per atom
1.0
7.368 0.000 0.000
0.000 7.368 0.000
3.684 3.684 2.450
Ru Ir Li
2 4 2
Direct
0.000 0.000 0.000 Ru
0.750 0.250 0.500 Ru
0.677 0.125 0.250 Ir
0.073 0.625 0.250 Ir
0.375 0.323 0.750 Ir
0.875 0.927 0.750 Ir
0.500 0.500 0.000 Li
0.250 0.750 0.500 Li

=====

- Number 1 is which compound?
  LiIr2Ru